# 1
The following is a DFT calculation (PBE) of a relaxed structure of HRuN.

a = 3.7284 Å, b = 3.7284 Å, c = 4.4018 Å
α = 90.00°, β = 90.00°, γ = 90.00°
Closest atoms and distances in Å follow each position.
Positions (direct):
H1 0.2500 0.2500 0.0504  1 N 1.03
H2 0.7500 0.7500 0.9496  1 N 1.03
Ru1 0.2500 0.7500 0.5000  4 N 2.09
Ru2 0.7500 0.2500 0.5000  4 N 2.09
N1 0.2500 0.2500 0.2852  1 H 1.03
N2 0.7500 0.7500 0.7148  1 H 1.03

Calculated values
Space-group type: P4/nmm, No. 129
E, eV/atom: -6.71

***

# 2
The following is a DFT calculation (PBE) of a relaxed structure of HRuSN2.

a = 3.7053 Å, b = 3.7053 Å, c = 5.1303 Å
α = 90.00°, β = 90.00°, γ = 90.00°
Closest atoms and distances in Å follow each position.
Positions (direct):
H1 0.0000 0.0000 0.0000  4 S 2.62
Ru1 0.5000 0.5000 0.5000  4 N 1.85
S1 0.5000 0.5000 0.0000  2 Ru 2.57, 4 H 2.62
N1 0.0000 0.5000 0.5000  2 Ru 1.85
N2 0.5000 0.0000 0.5000  2 Ru 1.85

Calculated values
Space-group type: P4/mmm, No. 123
E, eV/atom: -5.40

***

# 3
The following is a DFT calculation (PBE) of a relaxed structure of HRuSN2.

a = 3.9272 Å, b = 3.9272 Å, c = 3.4267 Å
α = 90.00°, β = 90.00°, γ = 90.00°
Closest atoms and distances in Å follow each position.
Positions (direct):
H1 0.0000 0.0000 0.0000  2 Ru 1.71
Ru1 0.0000 0.0000 0.5000  2 H 1.71
S1 0.5000 0.5000 0.0000  8 N 2.61, 4 H 2.78
N1 0.0000 0.5000 0.5000  2 Ru 1.96
N2 0.5000 0.0000 0.5000  2 Ru 1.96

Calculated values
Space-group type: P4/mmm, No. 123
E, eV/atom: -5.42

***

# 4
The following is a DFT calculation (PBE) of a relaxed structure of HRuSN2.

a = 3.8607 Å, b = 3.8607 Å, c = 2.9573 Å
α = 90.00°, β = 90.00°, γ = 90.00°
Closest atoms and distances in Å follow each position.
Positions (direct):
H1 0.0000 0.0000 0.0000  2 S 1.48
Ru1 0.5000 0.5000 0.5000  8 N 2.43
S1 0.0000 0.0000 0.5000  2 H 1.48
N1 0.0000 0.5000 0.0000  2 H 1.93
N2 0.5000 0.0000 0.0000  2 H 1.93

Calculated values
Space-group type: P4/mmm, No. 123
E, eV/atom: -4.81

***

# 5
The following is a DFT calculation (PBE) of a relaxed structure of HRuSeN2.

a = 3.7059 Å, b = 3.7059 Å, c = 5.4135 Å
α = 90.00°, β = 90.00°, γ = 90.00°
Closest atoms and distances in Å follow each position.
Positions (direct):
H1 0.0000 0.0000 0.0000  4 Se 2.62
Ru1 0.5000 0.5000 0.5000  4 N 1.85
Se1 0.5000 0.5000 0.0000  4 H 2.62, 2 Ru 2.71
N1 0.0000 0.5000 0.5000  2 Ru 1.85
N2 0.5000 0.0000 0.5000  2 Ru 1.85

Calculated values
Space-group type: P4/mmm, No. 123
E, eV/atom: -5.41

***

# 6
The following is a DFT calculation (PBE) of a relaxed structure of HRuSe2N.

a = 4.7109 Å, b = 4.7109 Å, c = 2.7550 Å
α = 90.00°, β = 90.00°, γ = 90.00°
Closest atoms and distances in Å follow each position.
Positions (direct):
H1 0.0000 0.0000 0.0000  2 N 1.38
Ru1 0.5000 0.5000 0.5000  8 Se 2.73, 2 Ru 2.76
Se1 0.0000 0.5000 0.0000  2 H 2.36
Se2 0.5000 0.0000 0.0000  2 H 2.36
N1 0.0000 0.0000 0.5000  2 H 1.38

Calculated values
Space-group type: P4/mmm, No. 123
E, eV/atom: -4.48

***

# 7
The following is a DFT calculation (PBE) of a relaxed structure of HRuSeN2.

a = 3.9104 Å, b = 3.9104 Å, c = 3.1525 Å
α = 90.00°, β = 90.00°, γ = 90.00°
Closest atoms and distances in Å follow each position.
Positions (direct):
H1 0.0000 0.0000 0.0000  2 Se 1.58
Ru1 0.5000 0.5000 0.5000  8 N 2.51, 4 Se 2.77
Se1 0.0000 0.0000 0.5000  2 H 1.58
N1 0.0000 0.5000 0.0000  2 H 1.96
N2 0.5000 0.0000 0.0000  2 H 1.96

Calculated values
Space-group type: P4/mmm, No. 123
E, eV/atom: -4.62

***

# 8
The following is a DFT calculation (PBE) of a relaxed structure of HRuSe2N.

a = 5.0846 Å, b = 5.0846 Å, c = 3.6322 Å
α = 90.00°, β = 90.00°, γ = 90.00°
Closest atoms and distances in Å follow each position.
Positions (direct):
H1 0.0000 0.0000 0.0000  8 Se 3.12
Ru1 0.5000 0.5000 0.5000  2 N 1.82
Se1 0.0000 0.5000 0.5000  2 Ru 2.54
Se2 0.5000 0.0000 0.5000  2 Ru 2.54
N1 0.5000 0.5000 0.0000  2 Ru 1.82

Calculated values
Space-group type: P4/mmm, No. 123
E, eV/atom: -4.63

***

# 9
The following is a DFT calculation (PBE) of a relaxed structure of Sr2H2RuN2.

a = 3.8497 Å, b = 3.8497 Å, c = 14.7894 Å
α = 90.00°, β = 90.00°, γ = 90.00°
Closest atoms and distances in Å follow each position.
Positions (direct):
Sr1 0.0000 0.0000 0.1335  1 H 2.50, 4 N 2.76
Sr2 0.0000 0.0000 0.8665  1 H 2.50, 4 N 2.76
Sr3 0.5000 0.5000 0.3665  1 H 2.50, 4 N 2.76
Sr4 0.5000 0.5000 0.6335  1 H 2.50, 4 N 2.76
H1 0.0000 0.0000 0.3023  1 Sr 2.50
H2 0.0000 0.0000 0.6977  1 Sr 2.50
H3 0.5000 0.5000 0.1977  1 Sr 2.50
H4 0.5000 0.5000 0.8023  1 Sr 2.50
Ru1 0.0000 0.0000 0.5000  4 N 1.92
Ru2 0.5000 0.5000 0.0000  4 N 1.92
N1 0.0000 0.5000 0.0000  2 Ru 1.92
N2 0.0000 0.5000 0.5000  2 Ru 1.92
N3 0.5000 0.0000 0.0000  2 Ru 1.92
N4 0.5000 0.0000 0.5000  2 Ru 1.92

Calculated values
Space-group type: I4/mmm, No. 139
E, eV/atom: -5.45

***

# 10
The following is a DFT calculation (PBE) of a relaxed structure of SrH2RuN.

a = 3.8294 Å, b = 3.8294 Å, c = 3.8699 Å
α = 90.00°, β = 90.00°, γ = 90.00°
Closest atoms and distances in Å follow each position.
Positions (direct):
Sr1 0.0000 0.0000 0.0000  4 N 2.71, 8 H 2.72
H1 0.0000 0.5000 0.5000  2 Ru 1.91
H2 0.5000 0.0000 0.5000  2 Ru 1.91
Ru1 0.5000 0.5000 0.5000  4 H 1.91, 2 N 1.93
N1 0.5000 0.5000 0.0000  2 Ru 1.93

Calculated values
Space-group type: P4/mmm, No. 123
E, eV/atom: -5.65

***

# 11
The following is a DFT calculation (PBE) of a relaxed structure of ZrH2RuN.

a = 3.6182 Å, b = 3.6182 Å, c = 4.4144 Å
α = 90.00°, β = 90.00°, γ = 90.00°
Closest atoms and distances in Å follow each position.
Positions (direct):
Zr1 0.0000 0.0000 0.0000  2 N 2.21
H1 0.0000 0.5000 0.5000  2 N 1.81
H2 0.5000 0.0000 0.5000  2 N 1.81
Ru1 0.5000 0.5000 0.0000  4 Zr 2.56, 8 H 2.85
N1 0.0000 0.0000 0.5000  4 H 1.81

Calculated values
Space-group type: P4/mmm, No. 123
E, eV/atom: -5.64

***

# 12
The following is a DFT calculation (PBE) of a relaxed structure of SbHSN2.

a = 4.0666 Å, b = 4.0666 Å, c = 5.2020 Å
α = 90.00°, β = 90.00°, γ = 90.00°
Closest atoms and distances in Å follow each position.
Positions (direct):
Sb1 0.0000 0.0000 0.0000  4 N 2.03
H1 0.5000 0.5000 0.5000  4 S 2.88
S1 0.0000 0.0000 0.5000  2 Sb 2.60, 4 H 2.88
N1 0.0000 0.5000 0.0000  2 Sb 2.03
N2 0.5000 0.0000 0.0000  2 Sb 2.03

Calculated values
Space-group type: P4/mmm, No. 123
E, eV/atom: -3.81

***

Q: Among the records above, which one has the lowest E?
A: HRuN

***

Q: Which of these has the highest E?
A: SbHSN2